Compound: AlNiSbI2
Source: Alexandria via LeMat-Bulk
Functional: PBE
Structure: optimized geometry

The calculation puts the final energy at -2.56 eV/atom. The uncorrected formation energy comes out at 789 meV/atom. The total magnetization comes out at 0.96 μB/cell.

The structure in CIF format:
```
data_AlNiSbI2
_chemical_formula_sum 'Al1 Ni1 Sb1 I2'
_symmetry_space_group_name_H-M 'P 1'
_symmetry_Int_Tables_number 1
_symmetry_space_group_name_Hall 'P 1'
_cell_length_a 5.4411
_cell_length_b 5.4411
_cell_length_c 5.4930
_cell_angle_alpha 90.00
_cell_angle_beta 90.00
_cell_angle_gamma 90.00
loop_
_atom_site_label
_atom_site_type_symbol
_atom_site_fract_x
_atom_site_fract_y
_atom_site_fract_z
Al1 Al 0.0000 0.0000 0.0000
Ni1 Ni 0.5000 0.5000 0.5000
Sb1 Sb 0.0000 0.0000 0.5000
I1 I 0.0000 0.5000 0.0000
I2 I 0.5000 0.0000 0.0000
```